# CsV3Ga (PBE-GGA, optimized geometry)
# **V**: 111 Å³ per cell
# **E above lowest polymorph**: 0 kJ/mol of formula units
# **D(E_F)**: 13.716 states/eV/f.u.
# **ΔE_f**: 1.703 eV/atom
data_CsV3Ga
_chemical_formula_sum 'Cs1 V3 Ga1'
_space_group_name_H-M_alt 'P m -3 m'
_space_group_IT_number 221
_space_group_name_Hall '-P 4 2 3'
_cell_length_a 4.803
_cell_length_b 4.803
_cell_length_c 4.803
_cell_angle_alpha 90.00
_cell_angle_beta 90.00
_cell_angle_gamma 90.00
loop_
_atom_site_label
_atom_site_fract_x
_atom_site_fract_y
_atom_site_fract_z
Cs1 0.000 0.000 0.000
V1 0.000 0.500 0.500
Ga1 0.500 0.500 0.500